[1]
! Sm2GaAg2 (PBE-GGA, relaxed); values from VASP
! Energy relative to the elements ... -0.211 eV/atom
! Excess energy over the best structure of this formula in the dataset ... 3.17 kcal/mol of atoms
&SYSTEM
  ibrav = 0, nat = 10, ntyp = 3
/
ATOMIC_SPECIES
Sm 150.36 Sm.upf
Ga 69.72 Ga.upf
Ag 107.87 Ag.upf
CELL_PARAMETERS angstrom
9.9761 0.0000 0.0000
0.0000 4.4165 0.0000
-0.5889 0.0000 5.8648
ATOMIC_POSITIONS crystal
Sm 0.2091 0.0000 0.2233
Sm 0.2909 0.5000 0.7767
Sm 0.7091 0.5000 0.2233
Sm 0.7909 0.0000 0.7767
Ga 0.0000 0.5000 0.0000
Ga 0.5000 0.0000 0.0000
Ag 0.0850 0.0000 0.7059
Ag 0.4150 0.5000 0.2941
Ag 0.5850 0.5000 0.7059
Ag 0.9150 0.0000 0.2941

---

[2]
! Sm2Ga5Ag3 (PBE-GGA, relaxed); values from VASP
! Energy relative to the elements ... -0.405 eV/atom
&SYSTEM
  ibrav = 0, nat = 20, ntyp = 3
/
ATOMIC_SPECIES
Sm 150.36 Sm.upf
Ga 69.72 Ga.upf
Ag 107.87 Ag.upf
CELL_PARAMETERS angstrom
-5.2684 6.3301 3.0443
5.2684 -6.3301 3.0443
5.2684 6.3301 -3.0443
ATOMIC_POSITIONS crystal
Sm 0.1290 0.2351 0.3641
Sm 0.3710 0.7351 0.1062
Sm 0.6290 0.2649 0.8938
Sm 0.8710 0.7649 0.6359
Ga 0.0311 0.7500 0.2811
Ga 0.1127 0.6579 0.7706
Ga 0.2500 0.2500 0.0000
Ga 0.3873 0.1579 0.5453
Ga 0.4689 0.7500 0.7189
Ga 0.5311 0.2500 0.2811
Ga 0.6127 0.8421 0.4547
Ga 0.7500 0.7500 0.0000
Ga 0.8873 0.3421 0.2294
Ga 0.9689 0.2500 0.7189
Ag 0.1400 0.8931 0.0331
Ag 0.2500 0.7500 0.5000
Ag 0.3600 0.3931 0.7530
Ag 0.6400 0.6069 0.2470
Ag 0.7500 0.2500 0.5000
Ag 0.8600 0.1069 0.9669

---

[3]
! Sm2Ga3Ag2 (PBE-GGA, relaxed); values from VASP
! Energy relative to the elements ... -0.478 eV/atom
! Excess energy over the best structure of this formula in the dataset ... 0.00 kcal/mol of atoms
&SYSTEM
  ibrav = 0, nat = 14, ntyp = 3
/
ATOMIC_SPECIES
Sm 150.36 Sm.upf
Ga 69.72 Ga.upf
Ag 107.87 Ag.upf
CELL_PARAMETERS angstrom
2.1489 -9.5367 0.0000
2.1489 9.5367 0.0000
0.0000 0.0000 7.3980
ATOMIC_POSITIONS crystal
Sm 0.0566 0.9434 0.7500
Sm 0.1549 0.8451 0.2500
Sm 0.8451 0.1549 0.7500
Sm 0.9434 0.0566 0.2500
Ga 0.2272 0.7728 0.7500
Ga 0.4433 0.5567 0.5782
Ga 0.4433 0.5567 0.9218
Ga 0.5567 0.4433 0.0782
Ga 0.5567 0.4433 0.4218
Ga 0.7728 0.2272 0.2500
Ag 0.3137 0.6863 0.0558
Ag 0.3137 0.6863 0.4442
Ag 0.6863 0.3137 0.5558
Ag 0.6863 0.3137 0.9442

---

[4]
! SmGa3Ag2 (PBE-GGA, relaxed); values from VASP
! Energy relative to the elements ... -0.290 eV/atom
&SYSTEM
  ibrav = 0, nat = 12, ntyp = 3
/
ATOMIC_SPECIES
Sm 150.36 Sm.upf
Ga 69.72 Ga.upf
Ag 107.87 Ag.upf
CELL_PARAMETERS angstrom
8.3300 -2.2841 0.0000
8.3300 2.2841 0.0000
-2.4406 0.0000 6.3760
ATOMIC_POSITIONS crystal
Sm 0.1307 0.1307 0.1655
Sm 0.8693 0.8693 0.8345
Ga 0.0527 0.0527 0.6827
Ga 0.3275 0.3275 0.1115
Ga 0.3332 0.3332 0.5100
Ga 0.6668 0.6668 0.4900
Ga 0.6725 0.6725 0.8885
Ga 0.9473 0.9473 0.3173
Ag 0.2175 0.2175 0.7141
Ag 0.4982 0.4982 0.7904
Ag 0.5018 0.5018 0.2096
Ag 0.7825 0.7825 0.2859

---

Please write out number 1 again, unchanged.
! Sm2GaAg2 (PBE-GGA, relaxed); values from VASP
! Energy relative to the elements ... -0.211 eV/atom
! Excess energy over the best structure of this formula in the dataset ... 3.17 kcal/mol of atoms
&SYSTEM
  ibrav = 0, nat = 10, ntyp = 3
/
ATOMIC_SPECIES
Sm 150.36 Sm.upf
Ga 69.72 Ga.upf
Ag 107.87 Ag.upf
CELL_PARAMETERS angstrom
9.9761 0.0000 0.0000
0.0000 4.4165 0.0000
-0.5889 0.0000 5.8648
ATOMIC_POSITIONS crystal
Sm 0.2091 0.0000 0.2233
Sm 0.2909 0.5000 0.7767
Sm 0.7091 0.5000 0.2233
Sm 0.7909 0.0000 0.7767
Ga 0.0000 0.5000 0.0000
Ga 0.5000 0.0000 0.0000
Ag 0.0850 0.0000 0.7059
Ag 0.4150 0.5000 0.2941
Ag 0.5850 0.5000 0.7059
Ag 0.9150 0.0000 0.2941